The following is a DFT calculation (PBE-GGA) of a geometry-optimized Ba5Ge3F structure.

```
Ba5Ge3F
1.0
7.7694 0.0000 -3.6663
-1.7300 7.5744 -3.6663
0.1388 0.1740 10.3596
Ba F Ge
10 2 6
Direct
0.4785 0.3200 0.2985 Ba
0.8200 0.9785 0.2985 Ba
0.1800 0.0215 0.7015 Ba
0.9785 0.4785 0.2985 Ba
0.6800 0.1800 0.7015 Ba
0.0215 0.5215 0.7015 Ba
0.5000 0.5000 0.0000 Ba
0.3200 0.8200 0.2985 Ba
0.0000 0.0000 0.0000 Ba
0.5215 0.6800 0.7015 Ba
0.7500 0.2500 0.5000 F
0.2500 0.7500 0.5000 F
0.7500 0.7500 0.5000 Ge
0.8943 0.6057 0.0000 Ge
0.3943 0.8943 0.0000 Ge
0.2500 0.2500 0.5000 Ge
0.6057 0.1057 0.0000 Ge
0.1057 0.3943 0.0000 Ge
```

## Properties
Uncorrected formation energy, eV per atom: -1.07
Fermi-level density of states, states/eV/f.u.: 7.99
Crystal system: tetragonal

The following is a DFT calculation (PBE-GGA) of a geometry-optimized MoBr structure.

```
MoBr
1.0
-2.9868 0.4690 -8.9682
0.7780 -1.9959 -9.2185
-0.0843 -1.1269 9.3964
Mo Br
2 2
Direct
0.3246 0.8246 0.5000 Mo
0.4254 0.4254 0.0000 Mo
0.0195 0.0195 0.0000 Br
0.7305 0.2305 0.5000 Br
```

## Properties
Uncorrected formation energy, eV per atom: 0.30
Fermi-level density of states, states/eV/f.u.: 1.17
Crystal system: orthorhombic

The following is a DFT calculation (PBE-GGA) of a geometry-optimized LiPrNi structure.

```
LiPrNi
1.0
3.9856 0.0000 0.0000
0.0000 3.7817 -0.8772
0.0000 0.0811 8.9397
Pr Li Ni
2 2 2
Direct
0.7500 0.0928 0.1857 Pr
0.2500 0.9072 0.8143 Pr
0.7500 0.2924 0.5847 Li
0.2500 0.7076 0.4153 Li
0.2500 0.5404 0.0807 Ni
0.7500 0.4596 0.9193 Ni
```

## Properties
Formation energy, meV per atom: -170
Fermi-level density of states, states/eV/f.u.: 2.43
Crystal system: orthorhombic

The following is a DFT calculation (PBE-GGA) of a geometry-optimized BaCd5Ge2 structure.

```
BaCd5Ge2
1.0
-2.5661 2.6488 2.6465
-6.1292 -3.3867 1.3394
0.2641 -2.5150 6.6660
Cd Ge Ba
5 2 1
Direct
0.0000 0.5000 0.5000 Cd
0.6430 0.5459 0.1682 Cd
0.6430 0.1682 0.5459 Cd
0.3570 0.4541 0.8318 Cd
0.3570 0.8318 0.4541 Cd
0.7441 0.7559 0.7559 Ge
0.2559 0.2441 0.2441 Ge
0.0000 0.0000 0.0000 Ba
```

## Properties
Formation energy, meV per atom: -182
Fermi-level density of states, states/eV/f.u.: 2.15
Crystal system: orthorhombic

The following is a DFT calculation (PBE-GGA) of a geometry-optimized YIrSe2 structure.

```
YIrSe2
1.0
-0.9053 -2.6443 2.4611
2.8453 -2.0853 -1.1938
3.5137 2.5103 3.9897
Se Ir Y
2 1 1
Direct
0.5000 0.5000 0.2892 Se
0.0000 0.0000 0.9211 Se
0.5000 0.5000 0.8285 Ir
0.0000 0.0000 0.4612 Y
```

## Properties
Uncorrected formation energy, eV per atom: -0.77
Fermi-level density of states, states/eV/f.u.: 1.12
Crystal system: tetragonal

The following is a DFT calculation (PBE-GGA) of a geometry-optimized CeScCl6 structure.

```
CeScCl6
1.0
-0.4154 5.9670 2.9800
-1.0848 0.3789 6.5836
5.4986 2.0354 4.1794
Cl Sc Ce
6 1 1
Direct
0.8815 0.5888 0.2631 Cl
0.4111 0.7334 0.7370 Cl
0.5889 0.2666 0.2630 Cl
0.7333 0.1186 0.7370 Cl
0.1185 0.4112 0.7369 Cl
0.2667 0.8814 0.2630 Cl
0.5000 0.5000 0.5000 Sc
0.0000 0.0000 0.0000 Ce
```

## Properties
Uncorrected formation energy, eV per atom: -2.11
Fermi-level density of states, states/eV/f.u.: 8.16
Crystal system: trigonal

The following is a DFT calculation (PBE-GGA) of a geometry-optimized Y2Er3In2 structure.

```
Y2Er3In2
1.0
-3.1223 0.2249 4.0793
2.2916 -5.7245 -1.1712
5.4064 1.2884 4.0669
In Y Er
2 2 3
Direct
0.8800 0.7600 0.5868 In
0.1200 0.2400 0.4132 In
0.4000 0.8000 0.3179 Y
0.6000 0.2000 0.6821 Y
0.0000 0.0000 0.0000 Er
0.2941 0.5883 0.8366 Er
0.7059 0.4117 0.1634 Er
```

## Properties
Formation energy, meV per atom: -269
Fermi-level density of states, states/eV/f.u.: 7.84
Crystal system: monoclinic

The following is a DFT calculation (PBE-GGA) of a geometry-optimized CsPaF4 structure.

```
CsPaF4
1.0
-9.1186 1.3600 -0.4420
-1.2877 -9.0498 -1.2799
5.0735 3.5941 2.7645
F Cs Pa
4 1 1
Direct
0.3521 0.1322 0.7157 F
0.3637 0.5836 0.7157 F
0.8678 0.6363 0.2843 F
0.4164 0.6479 0.2843 F
0.7500 0.2500 0.5000 Cs
0.5000 0.5000 0.0000 Pa
```

## Properties
Uncorrected formation energy, eV per atom: -3.15
Fermi-level density of states, states/eV/f.u.: 5.13
Crystal system: tetragonal